Model w:
First-principles (meta-GGA SCAN) data for SnAsH2 at its PBEsol-relaxed geometry, as listed in Alexandria via LeMat-Bulk.

Cell and atoms, written as POSCAR:
```
SnAsH2
1.0
-3.067 3.086 -0.183
-2.282 -2.086 3.066
5.457 2.510 2.678
As H Sn
2 4 2
direct
0.500 0.500 0.000
0.750 0.250 0.500
0.682 0.375 0.250
0.625 0.432 0.750
0.125 0.318 0.750
0.568 0.875 0.250
0.000 0.000 0.000
0.250 0.750 0.500
```

Calculated values
As for the size of the total moment: 0.00 μB/cell.

Model x:
First-principles (meta-GGA SCAN) data for SnAsH2 at its PBEsol-relaxed geometry, as listed in Alexandria via LeMat-Bulk.

Cell and atoms, written as POSCAR:
```
SnAsH2
1.0
-3.715 0.908 -1.496
-0.622 0.053 -4.058
-2.274 -2.927 -1.767
Sn As H
1 1 2
direct
0.500 0.500 0.500
0.000 0.000 0.000
0.750 0.750 0.750
0.250 0.250 0.250
```

Calculated values
As for the size of the total moment: 0.00 μB/cell.

Order from most stable to least stable according to the calculation: model w, model x

Model w:
First-principles (meta-GGA SCAN) data for HfAs2PdSe at its PBEsol-relaxed geometry, as listed in Alexandria via LeMat-Bulk.

Cell and atoms, written as POSCAR:
```
HfAs2PdSe
1.0
-3.862 3.115 -0.371
-3.105 -3.926 -0.640
-0.693 -0.265 4.991
Hf As Se Pd
1 2 1 1
direct
0.000 0.000 0.000
0.000 0.000 0.500
0.000 0.500 0.000
0.500 0.000 0.000
0.500 0.500 0.500
```

Calculated values
As for the size of the total moment: 0.00 μB/cell.

Model x:
First-principles (meta-GGA SCAN) data for HfAs2PdSe at its PBEsol-relaxed geometry, as listed in Alexandria via LeMat-Bulk.

Cell and atoms, written as POSCAR:
```
HfAs2PdSe
1.0
-1.477 -1.694 -4.131
4.433 -0.037 -1.570
0.550 -4.529 1.661
As Se Pd Hf
2 1 1 1
direct
0.500 0.000 0.000
0.000 0.500 0.000
0.000 0.000 0.500
0.000 0.000 0.000
0.500 0.500 0.500
```

Calculated values
As for the size of the total moment: 0.00 μB/cell.

Order from most stable to least stable according to the calculation: model w, model x

Model w:
First-principles (meta-GGA SCAN) data for HgAs at its PBEsol-relaxed geometry, as listed in Alexandria via LeMat-Bulk.

Cell and atoms, written as POSCAR:
```
HgAs
1.0
4.809 0.000 0.000
-2.405 4.165 0.000
0.000 0.000 10.595
As Hg
4 4
direct
0.667 0.333 0.493
0.333 0.667 0.507
0.667 0.333 0.007
0.333 0.667 0.993
0.667 0.333 0.250
0.000 0.000 0.250
0.000 0.000 0.750
0.333 0.667 0.750
```

Calculated values
As for the size of the total moment: 0.00 μB/cell.

Model x:
First-principles (meta-GGA SCAN) data for HgAs at its PBEsol-relaxed geometry, as listed in Alexandria via LeMat-Bulk.

Cell and atoms, written as POSCAR:
```
HgAs
1.0
3.709 0.000 0.000
1.855 3.212 0.000
1.855 1.071 7.644
As Hg
2 2
direct
0.136 0.136 0.591
0.864 0.864 0.409
0.378 0.378 0.865
0.622 0.622 0.135
```

Calculated values
As for the size of the total moment: 0.00 μB/cell.

Model y:
First-principles (meta-GGA SCAN) data for HgAs at its PBEsol-relaxed geometry, as listed in Alexandria via LeMat-Bulk.

Cell and atoms, written as POSCAR:
```
HgAs
1.0
-0.752 -3.440 0.325
0.361 1.435 -3.212
9.017 -1.957 0.140
Hg As
2 2
direct
0.667 0.333 0.366
0.333 0.667 0.634
0.667 0.333 0.923
0.333 0.667 0.077
```

Calculated values
As for the size of the total moment: 0.00 μB/cell.

Order from most stable to least stable according to the calculation: model y, model x, model w

Model w:
First-principles (meta-GGA SCAN) data for In2HgAs at its PBEsol-relaxed geometry, as listed in Alexandria via LeMat-Bulk.

Cell and atoms, written as POSCAR:
```
In2HgAs
1.0
4.038 0.000 0.000
2.019 3.497 0.000
2.019 1.166 6.933
In As Hg
2 1 1
direct
0.242 0.242 0.275
0.758 0.758 0.725
0.500 0.500 0.500
0.000 0.000 0.000
```

Calculated values
As for the size of the total moment: 0.00 μB/cell.

Model x:
First-principles (meta-GGA SCAN) data for In2HgAs at its PBEsol-relaxed geometry, as listed in Alexandria via LeMat-Bulk.

Cell and atoms, written as POSCAR:
```
In2HgAs
1.0
4.741 0.000 0.000
-2.371 4.754 0.065
0.000 2.308 4.141
As In Hg
1 2 1
direct
0.500 0.000 0.500
0.250 0.500 0.250
0.000 0.000 0.000
0.750 0.500 0.750
```

Calculated values
As for the size of the total moment: 0.00 μB/cell.

Order from most stable to least stable according to the calculation: model w, model x

Model w:
First-principles (meta-GGA SCAN) data for MgHgAs2 at its PBEsol-relaxed geometry, as listed in Alexandria via LeMat-Bulk.

Cell and atoms, written as POSCAR:
```
MgHgAs2
1.0
4.036 0.000 0.000
0.000 4.036 0.000
-2.018 -2.018 4.904
Hg As Mg
1 2 1
direct
0.500 0.500 0.000
0.000 0.000 0.000
0.750 0.250 0.500
0.250 0.750 0.500
```

Calculated values
As for the size of the total moment: 0.00 μB/cell.

Model x:
First-principles (meta-GGA SCAN) data for MgHgAs2 at its PBEsol-relaxed geometry, as listed in Alexandria via LeMat-Bulk.

Cell and atoms, written as POSCAR:
```
MgHgAs2
1.0
-2.320 -1.646 2.078
0.938 -4.204 -2.282
4.752 0.342 2.591
As Mg Hg
2 1 1
direct
0.247 0.317 0.494
0.753 0.683 0.506
0.000 0.500 0.000
0.500 0.000 0.000
```

Calculated values
As for the size of the total moment: 0.00 μB/cell.

Order from most stable to least stable according to the calculation: model x, model w

Model w:
First-principles (meta-GGA SCAN) data for HgAs2P at its PBEsol-relaxed geometry, as listed in Alexandria via LeMat-Bulk.

Cell and atoms, written as POSCAR:
```
HgAs2P
1.0
3.333 0.000 0.000
0.000 4.734 0.000
0.000 0.000 4.701
P Hg As
1 1 2
direct
0.000 0.500 0.500
0.500 0.500 0.000
0.000 0.000 0.000
0.500 0.000 0.500
```

Calculated values
As for the size of the total moment: 0.00 μB/cell.

Model x:
First-principles (meta-GGA SCAN) data for HgAs2P at its PBEsol-relaxed geometry, as listed in Alexandria via LeMat-Bulk.

Cell and atoms, written as POSCAR:
```
HgAs2P
1.0
2.719 0.000 0.000
0.000 5.379 0.000
0.000 0.000 5.379
Hg As P
1 2 1
direct
0.000 0.500 0.500
0.000 0.000 0.500
0.000 0.500 0.000
0.000 0.000 0.000
```

Calculated values
As for the size of the total moment: 0.00 μB/cell.

Model y:
First-principles (meta-GGA SCAN) data for HgAs2P at its PBEsol-relaxed geometry, as listed in Alexandria via LeMat-Bulk.

Cell and atoms, written as POSCAR:
```
HgAs2P
1.0
4.728 0.000 0.000
2.364 4.095 0.000
2.364 1.365 3.860
As Hg P
2 1 1
direct
0.000 0.000 0.000
0.750 0.750 0.750
0.500 0.500 0.500
0.250 0.250 0.250
```

Calculated values
As for the size of the total moment: 0.00 μB/cell.

Order from most stable to least stable according to the calculation: model x, model y, model w

Model w:
First-principles (meta-GGA SCAN) data for HgAsRu2 at its PBEsol-relaxed geometry, as listed in Alexandria via LeMat-Bulk.

Cell and atoms, written as POSCAR:
```
HgAsRu2
1.0
4.408 0.000 0.000
2.204 3.817 0.000
2.204 1.272 3.599
As Ru Hg
1 2 1
direct
0.500 0.500 0.500
0.750 0.750 0.750
0.250 0.250 0.250
0.000 0.000 0.000
```

Calculated values
As for the size of the total moment: 0.00 μB/cell.

Model x:
First-principles (meta-GGA SCAN) data for HgAsRu2 at its PBEsol-relaxed geometry, as listed in Alexandria via LeMat-Bulk.

Cell and atoms, written as POSCAR:
```
HgAsRu2
1.0
2.938 0.000 0.000
1.469 2.545 0.000
1.469 0.848 8.255
Ru Hg As
2 1 1
direct
0.239 0.239 0.283
0.761 0.761 0.717
0.000 0.000 0.000
0.500 0.500 0.500
```

Calculated values
As for the size of the total moment: 0.00 μB/cell.

Order from most stable to least stable according to the calculation: model x, model w

Model w:
First-principles (meta-GGA SCAN) data for TlHgAsS3 at its PBEsol-relaxed geometry, as listed in Alexandria via LeMat-Bulk.

Cell and atoms, written as POSCAR:
```
TlHgAsS3
1.0
9.438 0.122 0.000
-3.797 8.641 0.000
-2.820 -4.382 7.870
Hg Tl S As
4 4 12 4
direct
0.000 0.276 0.276
0.000 0.724 0.724
0.276 0.000 0.276
0.724 0.000 0.724
0.652 0.652 0.000
0.348 0.348 0.000
0.250 0.750 0.500
0.750 0.250 0.500
0.278 0.278 0.252
0.267 0.700 0.795
0.095 0.300 0.567
0.026 0.026 0.748
0.472 0.905 0.205
0.733 0.528 0.433
0.700 0.267 0.795
0.905 0.472 0.205
0.300 0.095 0.567
0.974 0.722 0.000
0.722 0.974 0.000
0.528 0.733 0.433
0.020 0.020 0.497
0.523 0.523 0.503
0.980 0.477 0.000
0.477 0.980 0.000
```

Calculated values
As for the size of the total moment: 0.00 μB/cell.

Model x:
First-principles (meta-GGA SCAN) data for TlHgAsS3 at its PBEsol-relaxed geometry, as listed in Alexandria via LeMat-Bulk.

Cell and atoms, written as POSCAR:
```
TlHgAsS3
1.0
6.078 0.003 0.000
-0.644 6.044 0.000
0.000 0.000 15.865
S Tl As Hg
12 4 4 4
direct
0.699 0.858 0.396
0.801 0.642 0.896
0.363 0.637 0.758
0.301 0.142 0.604
0.137 0.863 0.258
0.642 0.801 0.104
0.637 0.363 0.242
0.199 0.358 0.104
0.142 0.301 0.396
0.863 0.137 0.742
0.858 0.699 0.604
0.358 0.199 0.896
0.337 0.663 0.549
0.163 0.837 0.049
0.663 0.337 0.451
0.837 0.163 0.951
0.575 0.425 0.105
0.425 0.575 0.895
0.075 0.925 0.395
0.925 0.075 0.605
0.073 0.427 0.250
0.927 0.573 0.750
0.573 0.927 0.250
0.427 0.073 0.750
```

Calculated values
As for the size of the total moment: 0.00 μB/cell.

Order from most stable to least stable according to the calculation: model x, model w